Computed, not measured: an optimized crystal structure of La6ZnS2Br3 at the GGA-PBE level of DFT.

Output
- SG = C2/m
- uncorrected energy (eV per cell) = -61.38
- DOS at the Fermi energy (states/eV per cell) = 8.4
- V (A^3/atom) = 28.7

Cell: 7.178 7.178 8.071 Å, 98.48 98.48 120.04°
Fractional coordinates of all 12 atoms:
1 La 0.081 0.429 0.786
2 La 0.223 0.223 0.212
3 La 0.429 0.081 0.786
4 La 0.571 0.919 0.214
5 La 0.777 0.777 0.788
6 La 0.919 0.571 0.214
7 Zn 0.500 0.500 0.000
8 S 0.167 0.833 0.000
9 S 0.833 0.167 0.000
10 Br 0.000 0.000 0.500
11 Br 0.339 0.661 0.500
12 Br 0.661 0.339 0.500